Entry 1:
# FeIrPdC2, relaxed, DFT PBE-GGA
# Total magnetization in μB per cell: 4.11
# Excess energy over the best structure of this formula in the dataset in meV/atom: 652
# DOS(E_F) in states/eV/f.u.: 3.654
# Calculated formation energy in eV/atom: 2.29
data_FeIrPdC2
_chemical_formula_sum 'Fe1 Ir1 Pd1 C2'
_cell_length_a 3.854
_cell_length_b 3.854
_cell_length_c 4.913
_cell_angle_alpha 90.00
_cell_angle_beta 90.00
_cell_angle_gamma 90.00
_symmetry_space_group_name_H-M 'P 1'
_symmetry_Int_Tables_number 1
loop_
_symmetry_equiv_pos_as_xyz
'x,y,z'
loop_
_atom_site_label
_atom_site_type_symbol
_atom_site_fract_x
_atom_site_fract_y
_atom_site_fract_z
Fe1 Fe 0.000 0.000 0.000
Ir1 Ir 0.500 0.500 0.000
Pd1 Pd 0.000 0.000 0.500
C1 C 0.000 0.500 0.500
C2 C 0.500 0.000 0.500

Entry 2:
# ScFe2IrC, relaxed, DFT PBE-GGA
# Total magnetization in μB per cell: 1.98
# DOS(E_F) in states/eV/f.u.: 4.147
# Calculated formation energy in eV/atom: -0.25
data_ScFe2IrC
_chemical_formula_sum 'Sc1 Fe2 Ir1 C1'
_cell_length_a 3.888
_cell_length_b 3.888
_cell_length_c 4.079
_cell_angle_alpha 90.00
_cell_angle_beta 90.00
_cell_angle_gamma 90.00
_symmetry_space_group_name_H-M 'P 1'
_symmetry_Int_Tables_number 1
loop_
_symmetry_equiv_pos_as_xyz
'x,y,z'
loop_
_atom_site_label
_atom_site_type_symbol
_atom_site_fract_x
_atom_site_fract_y
_atom_site_fract_z
Sc1 Sc 0.000 0.000 0.000
Fe1 Fe 0.000 0.500 0.500
Fe2 Fe 0.500 0.000 0.500
Ir1 Ir 0.500 0.500 0.000
C1 C 0.500 0.500 0.500

Entry 3:
# Fe2SnIrC, relaxed, DFT PBE-GGA
# Total magnetization in μB per cell: 5.47
# DOS(E_F) in states/eV/f.u.: 7.588
# Calculated formation energy in eV/atom: 2.80
data_Fe2SnIrC
_chemical_formula_sum 'Fe2 Sn1 Ir1 C1'
_cell_length_a 4.795
_cell_length_b 4.795
_cell_length_c 4.918
_cell_angle_alpha 90.00
_cell_angle_beta 90.00
_cell_angle_gamma 90.00
_symmetry_space_group_name_H-M 'P 1'
_symmetry_Int_Tables_number 1
loop_
_symmetry_equiv_pos_as_xyz
'x,y,z'
loop_
_atom_site_label
_atom_site_type_symbol
_atom_site_fract_x
_atom_site_fract_y
_atom_site_fract_z
Fe1 Fe 0.000 0.500 0.000
Fe2 Fe 0.500 0.000 0.000
Sn1 Sn 0.000 0.000 0.000
Ir1 Ir 0.000 0.000 0.500
C1 C 0.500 0.500 0.500

Entry 4:
# FeSnIr2C, relaxed, DFT PBE-GGA
# Total magnetization in μB per cell: 0.26
# DOS(E_F) in states/eV/f.u.: 6.763
# Calculated formation energy in eV/atom: 2.25
data_FeSnIr2C
_chemical_formula_sum 'Fe1 Sn1 Ir2 C1'
_cell_length_a 4.453
_cell_length_b 4.453
_cell_length_c 4.748
_cell_angle_alpha 90.00
_cell_angle_beta 90.00
_cell_angle_gamma 90.00
_symmetry_space_group_name_H-M 'P 1'
_symmetry_Int_Tables_number 1
loop_
_symmetry_equiv_pos_as_xyz
'x,y,z'
loop_
_atom_site_label
_atom_site_type_symbol
_atom_site_fract_x
_atom_site_fract_y
_atom_site_fract_z
Fe1 Fe 0.000 0.000 0.000
Sn1 Sn 0.000 0.000 0.500
Ir1 Ir 0.000 0.500 0.000
Ir2 Ir 0.500 0.000 0.000
C1 C 0.500 0.500 0.500